1.
ZrSiPt2 PBE optimized geometry; volume = 525 Å³/cell; uncorrected formation energy = -1055 meV per atom
1.0
5.2199 0.0000 0.0000
0.0000 6.9253 0.0000
0.0000 0.0000 14.5317
Zr Si Pt
8 8 16
Cartesian
2.4798 1.7313 2.0392
5.0897 5.1940 5.2267
2.7400 5.1940 12.4925
0.1301 1.7313 9.3050
3.9103 1.7313 5.7072
1.3004 5.1940 1.5587
1.3095 5.1940 8.8245
3.9195 1.7313 12.9730
1.2148 1.7313 4.6443
3.8247 5.1940 2.6215
4.0050 5.1940 9.8874
1.3951 1.7313 11.9101
5.1211 1.7313 1.0314
2.5112 5.1940 6.2344
0.0987 5.1940 13.5002
2.7086 1.7313 8.2973
5.0326 0.3312 3.1273
2.4227 6.5941 4.1386
0.1872 3.7939 11.4044
2.7971 3.1314 10.3931
0.1872 6.5941 11.4044
2.7971 0.3312 10.3931
5.0326 3.1314 3.1273
2.4227 3.7939 4.1386
3.8641 3.7977 0.4798
1.2542 3.1276 6.7860
1.3558 0.3351 14.0519
3.9657 6.5903 7.7456
1.3558 3.1276 14.0519
3.9657 3.7977 7.7456
3.8641 6.5903 0.4798
1.2542 0.3351 6.7860

2.
ZrSiPt2 PBE optimized geometry; volume = 67 Å³/cell; uncorrected formation energy = -393 meV per atom
1.0
-1.0283 -7.9591 4.2382
1.9024 -7.8016 4.2289
0.3682 -6.4740 6.3497
Pt Si Zr
2 1 1
Cartesian
1.2414 -22.2183 14.8059
0.3005 -5.3784 3.5841
0.6286 -11.2502 7.4969
0.9353 -16.7399 11.1552

3.
ZrSiPt2 PBE optimized geometry; volume = 66 Å³/cell; uncorrected formation energy = -714 meV per atom
1.0
4.9037 -0.0038 0.0000
1.5201 4.6622 0.0000
-3.2119 -2.3292 2.8819
Pt Si Zr
2 1 1
Cartesian
0.0000 0.0000 0.0000
0.7600 2.3311 1.4409
3.2119 2.3292 0.0000
2.4519 -0.0019 1.4409

4.
ZrSiPt2 PBE optimized geometry; volume = 69 Å³/cell; uncorrected formation energy = -706 meV per atom
1.0
-1.6458 -3.0400 0.2080
0.5754 -0.0779 3.4141
-4.9590 2.7462 0.8984
Pt Si Zr
2 1 1
Cartesian
-4.9487 2.7405 0.8966
-2.0099 -0.7423 2.0782
-2.1357 1.1827 0.3869
-4.3734 0.5666 2.5064

5.
ZrSiPt2 PBE optimized geometry; volume = 66 Å³/cell; uncorrected formation energy = -726 meV per atom
1.0
-1.8584 -3.4882 -0.6189
3.2356 -1.3866 -1.9003
1.4812 -1.4206 3.5586
Pt Si Zr
2 1 1
Cartesian
0.0000 0.0000 0.0000
0.6886 -2.4374 -1.2596
-0.1886 -2.4544 1.4698
2.3584 -1.4036 0.8291

6.
ZrSiPt2 PBE optimized geometry; volume = 144 Å³/cell; uncorrected formation energy = -527 meV per atom
1.0
4.0125 0.0000 0.0000
0.0000 4.0125 0.0000
2.0063 2.0063 8.9222
Si Zr Pt
2 2 4
Cartesian
2.0063 2.0063 0.0000
2.0063 4.0125 4.4611
0.0000 0.0000 0.0000
4.0125 2.0063 4.4611
2.9308 1.0031 2.2305
1.0817 3.0094 2.2305
3.0094 3.0880 6.6916
5.0157 4.9371 6.6916

| no. | total DFT energy (no corrections) (eV/cell) |
| --- | --- |
| 1 | -242.2 |
| 2 | -27.6 |
| 3 | -28.9 |
| 4 | -28.9 |
| 5 | -29.0 |
| 6 | -56.3 |